DFT (meta-GGA SCAN) results for a PBEsol-optimized structure of LiPm2Ge.

a b c (Å): 5.0811 5.0811 5.0811
angles (deg): 60.00 60.00 60.00
Sites, in units of the cell vectors:
Li 0.5000 0.5000 0.5000
Pm 0.7500 0.7500 0.7500
Pm 0.2500 0.2500 0.2500
Ge 0.0000 0.0000 0.0000

Values from the calculation:
Raw total energy   -27.8268 eV per atom
SG   No. 225
D(E_F)   2.34 states/eV per cell
Calculated density   6616 kg/m³
ΔH_f (0 K)   -0.465 eV per atom